First-principles (PBE-GGA) data for crystalline Nb6InTe8 at its relaxed geometry, as listed in Alexandria.

Values from the calculation:
space group: P-6
formation energy (no corrections): -0.420 eV/atom
energy: -6.306 eV/atom

The structure in extended XYZ format:
```
15
Lattice="10.8168 0.0000 0.0000 -5.4084 9.3677 0.0000 0.0000 0.0000 3.6589" Properties=species:S:1:pos:R:3 pbc="T T T"
Nb -0.6548 2.1778 0.0000
Nb -2.2307 6.7357 1.8294
Nb -3.1950 8.8458 0.0000
Nb 0.6905 4.0679 1.8294
Nb 1.5402 7.9317 1.8294
Nb 3.8498 7.7117 0.0000
In 5.4084 3.1226 1.8294
Te 0.0000 0.0000 1.8294
Te -2.0998 3.7312 1.8294
Te 2.1421 2.5099 0.0000
Te 0.0000 6.2451 0.0000
Te -1.1272 9.3206 1.8294
Te 3.2270 5.6836 1.8294
Te 7.5722 0.6002 0.0000
Te 6.5110 6.2576 0.0000
```